1.
# ZrSc2Sn (GGA-PBE, relaxed)
# SG = F-43m (216)
# Total energy = -6.540 eV per atom
# V = 88.2 Å³/cell
# Spin magnetization = 0.002 μB per formula unit
data_ZrSc2Sn
_chemical_formula_sum 'Zr1 Sc2 Sn1'
_symmetry_space_group_name_H-M 'P 1'
_symmetry_Int_Tables_number 1
_symmetry_space_group_name_Hall 'P 1'
_cell_length_a 4.996
_cell_length_b 4.996
_cell_length_c 4.996
_cell_angle_alpha 60.00
_cell_angle_beta 60.00
_cell_angle_gamma 60.00
loop_
_atom_site_label
_atom_site_type_symbol
_atom_site_fract_x
_atom_site_fract_y
_atom_site_fract_z
Zr1 Zr 0.000 0.000 0.000
Sc1 Sc 0.250 0.250 0.250
Sc2 Sc 0.500 0.500 0.500
Sn1 Sn 0.750 0.750 0.750

---

2.
# SrScTa2 (GGA-PBE, relaxed)
# SG = F-43m (216)
# Total energy = -7.139 eV per atom
# V = 89.6 Å³/cell
# Spin magnetization = 0.014 μB per formula unit
data_SrScTa2
_chemical_formula_sum 'Sr1 Sc1 Ta2'
_symmetry_space_group_name_H-M 'P 1'
_symmetry_Int_Tables_number 1
_symmetry_space_group_name_Hall 'P 1'
_cell_length_a 5.023
_cell_length_b 5.023
_cell_length_c 5.023
_cell_angle_alpha 60.00
_cell_angle_beta 60.00
_cell_angle_gamma 60.00
loop_
_atom_site_label
_atom_site_type_symbol
_atom_site_fract_x
_atom_site_fract_y
_atom_site_fract_z
Sr1 Sr 0.000 0.000 0.000
Sc1 Sc 0.250 0.250 0.250
Ta1 Ta 0.500 0.500 0.500
Ta2 Ta 0.750 0.750 0.750

---

3.
# SrSc2Tc (GGA-PBE, relaxed)
# SG = P222_1 (17)
# Total energy = -5.794 eV per atom
# V = 210.2 Å³/cell
# Spin magnetization = 0.037 μB per formula unit
data_SrSc2Tc
_chemical_formula_sum 'Sr2 Sc4 Tc2'
_symmetry_space_group_name_H-M 'P 1'
_symmetry_Int_Tables_number 1
_symmetry_space_group_name_Hall 'P 1'
_cell_length_a 3.405
_cell_length_b 6.317
_cell_length_c 9.772
_cell_angle_alpha 90.00
_cell_angle_beta 90.00
_cell_angle_gamma 90.00
loop_
_atom_site_label
_atom_site_type_symbol
_atom_site_fract_x
_atom_site_fract_y
_atom_site_fract_z
Sr1 Sr 0.018 0.000 0.000
Sr2 Sr 0.982 0.000 0.500
Sc1 Sc 0.000 0.381 0.750
Sc2 Sc 0.000 0.619 0.250
Sc3 Sc 0.493 0.500 0.500
Sc4 Sc 0.507 0.500 0.000
Tc1 Tc 0.500 0.306 0.250
Tc2 Tc 0.500 0.694 0.750

---

4.
# SrThSc (GGA-PBE, relaxed)
# SG = F-43m (216)
# Total energy = -4.206 eV per atom
# V = 118.2 Å³/cell
# Spin magnetization = 0.476 μB per formula unit
data_SrThSc
_chemical_formula_sum 'Sr1 Th1 Sc1'
_symmetry_space_group_name_H-M 'P 1'
_symmetry_Int_Tables_number 1
_symmetry_space_group_name_Hall 'P 1'
_cell_length_a 5.508
_cell_length_b 5.508
_cell_length_c 5.508
_cell_angle_alpha 60.00
_cell_angle_beta 60.00
_cell_angle_gamma 60.00
loop_
_atom_site_label
_atom_site_type_symbol
_atom_site_fract_x
_atom_site_fract_y
_atom_site_fract_z
Sr1 Sr 0.000 0.000 0.000
Th1 Th 0.500 0.500 0.500
Sc1 Sc 0.250 0.250 0.250

---

5.
# SrScW2 (GGA-PBE, relaxed)
# SG = F-43m (216)
# Total energy = -7.537 eV per atom
# V = 81.9 Å³/cell
# Spin magnetization = 0.017 μB per formula unit
data_SrScW2
_chemical_formula_sum 'Sr1 Sc1 W2'
_symmetry_space_group_name_H-M 'P 1'
_symmetry_Int_Tables_number 1
_symmetry_space_group_name_Hall 'P 1'
_cell_length_a 4.875
_cell_length_b 4.875
_cell_length_c 4.875
_cell_angle_alpha 60.00
_cell_angle_beta 60.00
_cell_angle_gamma 60.00
loop_
_atom_site_label
_atom_site_type_symbol
_atom_site_fract_x
_atom_site_fract_y
_atom_site_fract_z
Sr1 Sr 0.000 0.000 0.000
Sc1 Sc 0.250 0.250 0.250
W1 W 0.500 0.500 0.500
W2 W 0.750 0.750 0.750

---

6.
# Sr2ScW (GGA-PBE, relaxed)
# SG = F-43m (216)
# Total energy = -4.647 eV per atom
# V = 109.4 Å³/cell
# Spin magnetization = 0.980 μB per formula unit
data_Sr2ScW
_chemical_formula_sum 'Sr2 Sc1 W1'
_symmetry_space_group_name_H-M 'P 1'
_symmetry_Int_Tables_number 1
_symmetry_space_group_name_Hall 'P 1'
_cell_length_a 5.368
_cell_length_b 5.368
_cell_length_c 5.368
_cell_angle_alpha 60.00
_cell_angle_beta 60.00
_cell_angle_gamma 60.00
loop_
_atom_site_label
_atom_site_type_symbol
_atom_site_fract_x
_atom_site_fract_y
_atom_site_fract_z
Sr1 Sr 0.000 0.000 0.000
Sr2 Sr 0.250 0.250 0.250
Sc1 Sc 0.500 0.500 0.500
W1 W 0.750 0.750 0.750

---

7.
# SrScZn2 (GGA-PBE, relaxed)
# SG = F-43m (216)
# Total energy = -2.451 eV per atom
# V = 89.2 Å³/cell
# Spin magnetization = 0.501 μB per formula unit
data_SrScZn2
_chemical_formula_sum 'Sr1 Sc1 Zn2'
_symmetry_space_group_name_H-M 'P 1'
_symmetry_Int_Tables_number 1
_symmetry_space_group_name_Hall 'P 1'
_cell_length_a 5.016
_cell_length_b 5.016
_cell_length_c 5.016
_cell_angle_alpha 60.00
_cell_angle_beta 60.00
_cell_angle_gamma 60.00
loop_
_atom_site_label
_atom_site_type_symbol
_atom_site_fract_x
_atom_site_fract_y
_atom_site_fract_z
Sr1 Sr 0.000 0.000 0.000
Sc1 Sc 0.750 0.750 0.750
Zn1 Zn 0.250 0.250 0.250
Zn2 Zn 0.500 0.500 0.500

---

8.
# Sc2Ta (GGA-PBE, relaxed)
# SG = Fd-3m (227)
# Excess energy over the best structure of this formula in the dataset = 2.505 eV per atom
# Calculated formation energy = 2.599 eV/atom
# V = 328.8 Å³/cell
# Spin magnetization = 0.003 μB per formula unit
data_Sc2Ta
_chemical_formula_sum 'Sc4 Ta2'
_symmetry_space_group_name_H-M 'P 1'
_symmetry_Int_Tables_number 1
_symmetry_space_group_name_Hall 'P 1'
_cell_length_a 7.747
_cell_length_b 7.747
_cell_length_c 7.747
_cell_angle_alpha 60.00
_cell_angle_beta 60.00
_cell_angle_gamma 60.00
loop_
_atom_site_label
_atom_site_type_symbol
_atom_site_fract_x
_atom_site_fract_y
_atom_site_fract_z
Sc1 Sc 0.000 0.000 0.000
Sc2 Sc 0.000 0.000 0.500
Sc3 Sc 0.000 0.500 0.000
Sc4 Sc 0.500 0.000 0.000
Ta1 Ta 0.125 0.125 0.125
Ta2 Ta 0.875 0.875 0.875

---

9.
# Sc2Ta (GGA-PBE, relaxed)
# SG = C2/m (12)
# Excess energy over the best structure of this formula in the dataset = 0.000 eV per atom
# Calculated formation energy = 0.094 eV/atom
# V = 127.6 Å³/cell
# Spin magnetization = 0.004 μB per formula unit
data_Sc2Ta
_chemical_formula_sum 'Sc4 Ta2'
_symmetry_space_group_name_H-M 'P 1'
_symmetry_Int_Tables_number 1
_symmetry_space_group_name_Hall 'P 1'
_cell_length_a 5.924
_cell_length_b 5.924
_cell_length_c 8.573
_cell_angle_alpha 120.47
_cell_angle_beta 120.47
_cell_angle_gamma 29.89
loop_
_atom_site_label
_atom_site_type_symbol
_atom_site_fract_x
_atom_site_fract_y
_atom_site_fract_z
Sc1 Sc 0.114 0.114 0.342
Sc2 Sc 0.356 0.356 0.977
Sc3 Sc 0.644 0.644 0.023
Sc4 Sc 0.886 0.886 0.658
Ta1 Ta 0.380 0.380 0.336
Ta2 Ta 0.620 0.620 0.664

---

10.
# ScTaTc2 (GGA-PBE, relaxed)
# SG = F-43m (216)
# Excess energy over the best structure of this formula in the dataset = 0.292 eV per atom
# Calculated formation energy = -0.038 eV/atom
# V = 65.1 Å³/cell
# Spin magnetization = 0.004 μB per formula unit
data_ScTaTc2
_chemical_formula_sum 'Sc1 Ta1 Tc2'
_symmetry_space_group_name_H-M 'P 1'
_symmetry_Int_Tables_number 1
_symmetry_space_group_name_Hall 'P 1'
_cell_length_a 4.516
_cell_length_b 4.516
_cell_length_c 4.516
_cell_angle_alpha 60.00
_cell_angle_beta 60.00
_cell_angle_gamma 60.00
loop_
_atom_site_label
_atom_site_type_symbol
_atom_site_fract_x
_atom_site_fract_y
_atom_site_fract_z
Sc1 Sc 0.000 0.000 0.000
Ta1 Ta 0.250 0.250 0.250
Tc1 Tc 0.500 0.500 0.500
Tc2 Tc 0.750 0.750 0.750

---

11.
# ScTaTc2 (GGA-PBE, relaxed)
# SG = Pnma (62)
# Excess energy over the best structure of this formula in the dataset = 0.449 eV per atom
# Calculated formation energy = 0.119 eV/atom
# V = 288.3 Å³/cell
# Spin magnetization = 0.003 μB per formula unit
data_ScTaTc2
_chemical_formula_sum 'Sc4 Ta4 Tc8'
_symmetry_space_group_name_H-M 'P 1'
_symmetry_Int_Tables_number 1
_symmetry_space_group_name_Hall 'P 1'
_cell_length_a 7.625
_cell_length_b 6.719
_cell_length_c 5.628
_cell_angle_alpha 90.00
_cell_angle_beta 90.00
_cell_angle_gamma 90.00
loop_
_atom_site_label
_atom_site_type_symbol
_atom_site_fract_x
_atom_site_fract_y
_atom_site_fract_z
Sc1 Sc 0.040 0.250 0.140
Sc2 Sc 0.460 0.750 0.640
Sc3 Sc 0.540 0.250 0.360
Sc4 Sc 0.960 0.750 0.860
Ta1 Ta 0.090 0.750 0.350
Ta2 Ta 0.410 0.250 0.850
Ta3 Ta 0.590 0.750 0.150
Ta4 Ta 0.910 0.250 0.650
Tc1 Tc 0.196 0.045 0.597
Tc2 Tc 0.196 0.455 0.597
Tc3 Tc 0.304 0.545 0.097
Tc4 Tc 0.304 0.955 0.097
Tc5 Tc 0.696 0.045 0.903
Tc6 Tc 0.696 0.455 0.903
Tc7 Tc 0.804 0.545 0.403
Tc8 Tc 0.804 0.955 0.403

---

12.
# ScTaTc2 (GGA-PBE, relaxed)
# SG = I4/mmm (139)
# Excess energy over the best structure of this formula in the dataset = 0.004 eV per atom
# Calculated formation energy = -0.327 eV/atom
# V = 65.3 Å³/cell
# Spin magnetization = 0.006 μB per formula unit
data_ScTaTc2
_chemical_formula_sum 'Sc1 Ta1 Tc2'
_symmetry_space_group_name_H-M 'P 1'
_symmetry_Int_Tables_number 1
_symmetry_space_group_name_Hall 'P 1'
_cell_length_a 4.519
_cell_length_b 4.519
_cell_length_c 4.519
_cell_angle_alpha 119.90
_cell_angle_beta 119.90
_cell_angle_gamma 90.17
loop_
_atom_site_label
_atom_site_type_symbol
_atom_site_fract_x
_atom_site_fract_y
_atom_site_fract_z
Sc1 Sc 0.000 0.000 0.000
Ta1 Ta 0.500 0.500 0.000
Tc1 Tc 0.250 0.750 0.500
Tc2 Tc 0.750 0.250 0.500

---

13.
# ScTaTc2 (GGA-PBE, relaxed)
# SG = P4/mmm (123)
# Excess energy over the best structure of this formula in the dataset = 0.000 eV per atom
# Calculated formation energy = -0.331 eV/atom
# V = 66.0 Å³/cell
# Spin magnetization = 0.015 μB per formula unit
data_ScTaTc2
_chemical_formula_sum 'Sc1 Ta1 Tc2'
_symmetry_space_group_name_H-M 'P 1'
_symmetry_Int_Tables_number 1
_symmetry_space_group_name_Hall 'P 1'
_cell_length_a 3.199
_cell_length_b 3.199
_cell_length_c 6.447
_cell_angle_alpha 90.00
_cell_angle_beta 90.00
_cell_angle_gamma 90.00
loop_
_atom_site_label
_atom_site_type_symbol
_atom_site_fract_x
_atom_site_fract_y
_atom_site_fract_z
Sc1 Sc 0.000 0.000 0.000
Ta1 Ta 0.000 0.000 0.500
Tc1 Tc 0.500 0.500 0.262
Tc2 Tc 0.500 0.500 0.738

---

14.
# ScTaTc2 (GGA-PBE, relaxed)
# SG = Fm-3m (225)
# Excess energy over the best structure of this formula in the dataset = 0.004 eV per atom
# Calculated formation energy = -0.327 eV/atom
# V = 65.4 Å³/cell
# Spin magnetization = 0.002 μB per formula unit
data_ScTaTc2
_chemical_formula_sum 'Sc1 Ta1 Tc2'
_symmetry_space_group_name_H-M 'P 1'
_symmetry_Int_Tables_number 1
_symmetry_space_group_name_Hall 'P 1'
_cell_length_a 4.521
_cell_length_b 4.521
_cell_length_c 4.521
_cell_angle_alpha 60.00
_cell_angle_beta 60.00
_cell_angle_gamma 60.00
loop_
_atom_site_label
_atom_site_type_symbol
_atom_site_fract_x
_atom_site_fract_y
_atom_site_fract_z
Sc1 Sc 0.000 0.000 0.000
Ta1 Ta 0.500 0.500 0.500
Tc1 Tc 0.250 0.250 0.250
Tc2 Tc 0.750 0.750 0.750

---

15.
# ThScTa (GGA-PBE, relaxed)
# SG = F-43m (216)
# Calculated formation energy = 1.049 eV/atom
# V = 81.3 Å³/cell
# Spin magnetization = 1.648 μB per formula unit
data_ThScTa
_chemical_formula_sum 'Th1 Sc1 Ta1'
_symmetry_space_group_name_H-M 'P 1'
_symmetry_Int_Tables_number 1
_symmetry_space_group_name_Hall 'P 1'
_cell_length_a 4.863
_cell_length_b 4.863
_cell_length_c 4.863
_cell_angle_alpha 60.00
_cell_angle_beta 60.00
_cell_angle_gamma 60.00
loop_
_atom_site_label
_atom_site_type_symbol
_atom_site_fract_x
_atom_site_fract_y
_atom_site_fract_z
Th1 Th 0.000 0.000 0.000
Sc1 Sc 0.750 0.750 0.750
Ta1 Ta 0.500 0.500 0.500

---

16.
# Sc2UTa (GGA-PBE, relaxed)
# SG = P-6m2 (187)
# Calculated formation energy = 0.318 eV/atom
# V = 81.7 Å³/cell
# Spin magnetization = 1.030 μB per formula unit
data_Sc2UTa
_chemical_formula_sum 'Sc2 U1 Ta1'
_symmetry_space_group_name_H-M 'P 1'
_symmetry_Int_Tables_number 1
_symmetry_space_group_name_Hall 'P 1'
_cell_length_a 3.005
_cell_length_b 3.005
_cell_length_c 10.454
_cell_angle_alpha 90.00
_cell_angle_beta 90.00
_cell_angle_gamma 120.00
loop_
_atom_site_label
_atom_site_type_symbol
_atom_site_fract_x
_atom_site_fract_y
_atom_site_fract_z
Sc1 Sc 0.000 0.000 0.230
Sc2 Sc 0.000 0.000 0.770
U1 U 0.000 0.000 0.500
Ta1 Ta 0.667 0.333 0.000

---

17.
# ScUTa (GGA-PBE, relaxed)
# SG = F-43m (216)
# Excess energy over the best structure of this formula in the dataset = 0.108 eV per atom
# Calculated formation energy = 1.392 eV/atom
# V = 72.3 Å³/cell
# Spin magnetization = 2.851 μB per formula unit
data_ScUTa
_chemical_formula_sum 'Sc1 U1 Ta1'
_symmetry_space_group_name_H-M 'P 1'
_symmetry_Int_Tables_number 1
_symmetry_space_group_name_Hall 'P 1'
_cell_length_a 4.676
_cell_length_b 4.676
_cell_length_c 4.676
_cell_angle_alpha 60.00
_cell_angle_beta 60.00
_cell_angle_gamma 60.00
loop_
_atom_site_label
_atom_site_type_symbol
_atom_site_fract_x
_atom_site_fract_y
_atom_site_fract_z
Sc1 Sc 0.000 0.000 0.000
U1 U 0.250 0.250 0.250
Ta1 Ta 0.500 0.500 0.500

---

18.
# ScUTa (GGA-PBE, relaxed)
# SG = F-43m (216)
# Excess energy over the best structure of this formula in the dataset = 0.000 eV per atom
# Calculated formation energy = 1.284 eV/atom
# V = 69.4 Å³/cell
# Spin magnetization = 0.094 μB per formula unit
data_ScUTa
_chemical_formula_sum 'Sc1 U1 Ta1'
_symmetry_space_group_name_H-M 'P 1'
_symmetry_Int_Tables_number 1
_symmetry_space_group_name_Hall 'P 1'
_cell_length_a 4.612
_cell_length_b 4.612
_cell_length_c 4.612
_cell_angle_alpha 60.00
_cell_angle_beta 60.00
_cell_angle_gamma 60.00
loop_
_atom_site_label
_atom_site_type_symbol
_atom_site_fract_x
_atom_site_fract_y
_atom_site_fract_z
Sc1 Sc 0.000 0.000 0.000
U1 U 0.250 0.250 0.250
Ta1 Ta 0.750 0.750 0.750

---

19.
# YScTa2 (GGA-PBE, relaxed)
# SG = F-43m (216)
# Calculated formation energy = 0.339 eV/atom
# V = 85.5 Å³/cell
# Spin magnetization = 0.002 μB per formula unit
data_YScTa2
_chemical_formula_sum 'Y1 Sc1 Ta2'
_symmetry_space_group_name_H-M 'P 1'
_symmetry_Int_Tables_number 1
_symmetry_space_group_name_Hall 'P 1'
_cell_length_a 4.946
_cell_length_b 4.946
_cell_length_c 4.946
_cell_angle_alpha 60.00
_cell_angle_beta 60.00
_cell_angle_gamma 60.00
loop_
_atom_site_label
_atom_site_type_symbol
_atom_site_fract_x
_atom_site_fract_y
_atom_site_fract_z
Y1 Y 0.000 0.000 0.000
Sc1 Sc 0.750 0.750 0.750
Ta1 Ta 0.250 0.250 0.250
Ta2 Ta 0.500 0.500 0.500

---

20.
# Sc2TaZn (GGA-PBE, relaxed)
# SG = F-43m (216)
# Calculated formation energy = 0.225 eV/atom
# V = 76.2 Å³/cell
# Spin magnetization = 0.012 μB per formula unit
data_Sc2TaZn
_chemical_formula_sum 'Sc2 Ta1 Zn1'
_symmetry_space_group_name_H-M 'P 1'
_symmetry_Int_Tables_number 1
_symmetry_space_group_name_Hall 'P 1'
_cell_length_a 4.758
_cell_length_b 4.758
_cell_length_c 4.758
_cell_angle_alpha 60.00
_cell_angle_beta 60.00
_cell_angle_gamma 60.00
loop_
_atom_site_label
_atom_site_type_symbol
_atom_site_fract_x
_atom_site_fract_y
_atom_site_fract_z
Sc1 Sc 0.000 0.000 0.000
Sc2 Sc 0.250 0.250 0.250
Ta1 Ta 0.500 0.500 0.500
Zn1 Zn 0.750 0.750 0.750